Here is a relaxed Pr3CdAu crystal from Alexandria via LeMat-Bulk. Energies are from PBE.

Geometry as POSCAR:
```
Pr3CdAu
1.0
8.764 1.121 0.291
5.269 7.092 0.291
4.553 2.665 10.961
Pr Cd Au
12 4 4
direct
0.807 0.795 0.786
0.205 0.193 0.714
0.193 0.205 0.214
0.795 0.807 0.286
0.596 0.643 0.707
0.357 0.404 0.793
0.404 0.357 0.293
0.643 0.596 0.207
0.278 0.815 0.024
0.185 0.722 0.476
0.815 0.278 0.524
0.722 0.185 0.976
0.966 0.343 0.983
0.657 0.034 0.517
0.034 0.657 0.017
0.343 0.966 0.483
0.000 0.500 0.500
0.500 0.000 0.000
0.920 0.080 0.250
0.080 0.920 0.750
```

Results
Symmetry: No. 15
DOS(E_F) (states/eV/atom): 1.1313
Calculated formation energy (eV/atom): -0.295
Uncorrected energy (eV for the cell shown): -80.02
Crystal system: monoclinic